{
  "formula": "LiAuBr2O",
  "functional": "meta-GGA SCAN",
  "state": "PBEsol geometry",
  "magnetic_moment_mub_per_cell": 0.6,
  "formation_energy_uncorrected_mev_per_atom": -398,
  "lattice_angstrom": [[-3.366, -1.416, 1.363], [2.705, -3.454, 3.092], [0.084, 3.616, 3.966]],
  "species": ["Br", "Br", "Li", "Au", "O"],
  "fractional_positions": [[0.000, 0.000, 0.500], [0.000, 0.500, 0.000], [0.500, 0.500, 0.500], [0.000, 0.000, 0.000], [0.500, 0.000, 0.000]]
}